1.
Material: MgAlTe
Method: DFT, PBE
State: relaxed

Calculated values
E_form (uncorrected) (eV per atom): -0.10

Lattice parameters (Å, degrees): 4.2905 4.2905 10.4092 90.00 90.00 120.00
Space group P-6m2 (No. 187)
Unique sites:
Mg 0.0000 0.0000 0.1518 [2 per cell]
Al 0.0000 0.0000 0.5000 [1 per cell]
Al 0.3333 0.6667 0.0000 [1 per cell]
Te 0.3333 0.6667 0.2986 [2 per cell]

2.
Material: SrIrSCl2
Method: DFT, PBE
State: relaxed

Calculated values
E_form (uncorrected) (eV per atom): 0.40

Lattice parameters (Å, degrees): 5.3822 5.3822 5.9089 90.00 90.00 90.00
Space group P4/mmm (No. 123)
Unique sites:
Sr 0.0000 0.0000 0.0000 [1 per cell]
Ir 0.5000 0.5000 0.5000 [1 per cell]
S 0.0000 0.0000 0.5000 [1 per cell]
Cl 0.0000 0.5000 0.0000 [2 per cell]

3.
Material: Sm3SnGe2
Method: DFT, PBE
State: relaxed

Calculated values
Formation energy from the elements (kJ/mol of formula units): -416

Lattice parameters (Å, degrees): 8.0017 8.0017 18.6898 90.00 90.00 120.00
Space group R-3c (No. 167, hexagonal axes)
Unique sites:
Sm 0.0000 0.3134 0.2500 [18 per cell]
Sn 0.0000 0.0000 0.0000 [6 per cell]
Ge 0.0000 0.0000 0.1595 [12 per cell]